Record 1
# Ce3TmOs3 (PBE-GGA, relaxed)
# Fermi-level density of states = 7.0 states/eV/f.u.
# Total magnetic moment = 0.00 μB/f.u.
# Energy = -8.1581 eV per atom
# SG = C2/m, No. 12
# ΔE_f = -0.16 eV per atom
data_Ce3TmOs3
_chemical_formula_sum 'Ce6 Tm2 Os6'
_cell_length_a 7.2010
_cell_length_b 7.2010
_cell_length_c 6.6688
_cell_angle_alpha 102.83
_cell_angle_beta 102.83
_cell_angle_gamma 81.80
_symmetry_space_group_name_H-M 'P 1'
_symmetry_Int_Tables_number 1
loop_
_symmetry_equiv_pos_as_xyz
'x,y,z'
loop_
_atom_site_label
_atom_site_type_symbol
_atom_site_fract_x
_atom_site_fract_y
_atom_site_fract_z
Ce1 Ce 0.1904 0.8096 0.0000
Ce2 Ce 0.2702 0.7298 0.5000
Ce3 Ce 0.3038 0.3038 0.0088
Ce4 Ce 0.6962 0.6962 0.9912
Ce5 Ce 0.7298 0.2702 0.5000
Ce6 Ce 0.8096 0.1904 0.0000
Tm1 Tm 0.2187 0.2187 0.4575
Tm2 Tm 0.7813 0.7813 0.5425
Os1 Os 0.0109 0.5143 0.2360
Os2 Os 0.0571 0.0571 0.7267
Os3 Os 0.4857 0.9891 0.7640
Os4 Os 0.5143 0.0109 0.2360
Os5 Os 0.9429 0.9429 0.2733
Os6 Os 0.9891 0.4857 0.7640

---

Record 2
# V4Pt2N (PBE-GGA, relaxed)
# Fermi-level density of states = 5.2 states/eV/f.u.
# E_form (uncorrected) = -616 meV per atom
# Excess energy over the best structure of this formula in the dataset = 0 meV per atom
# Total magnetic moment = 0.00 μB/f.u.
# Energy = -8.7423 eV per atom
# SG = Fd-3m, No. 227
data_V4Pt2N
_chemical_formula_sum 'V16 Pt8 N4'
_cell_length_a 8.0421
_cell_length_b 8.0421
_cell_length_c 8.0421
_cell_angle_alpha 60.00
_cell_angle_beta 60.00
_cell_angle_gamma 60.00
_symmetry_space_group_name_H-M 'P 1'
_symmetry_Int_Tables_number 1
loop_
_symmetry_equiv_pos_as_xyz
'x,y,z'
loop_
_atom_site_label
_atom_site_type_symbol
_atom_site_fract_x
_atom_site_fract_y
_atom_site_fract_z
V1 V 0.0000 0.0000 0.0000
V2 V 0.0000 0.0000 0.5000
V3 V 0.0000 0.5000 0.0000
V4 V 0.2010 0.2010 0.5490
V5 V 0.2010 0.5490 0.2010
V6 V 0.2010 0.5490 0.5490
V7 V 0.4510 0.4510 0.7990
V8 V 0.4510 0.7990 0.4510
V9 V 0.4510 0.7990 0.7990
V10 V 0.5000 0.0000 0.0000
V11 V 0.5490 0.2010 0.2010
V12 V 0.5490 0.2010 0.5490
V13 V 0.5490 0.5490 0.2010
V14 V 0.7990 0.4510 0.4510
V15 V 0.7990 0.4510 0.7990
V16 V 0.7990 0.7990 0.4510
Pt1 Pt 0.1365 0.7878 0.7878
Pt2 Pt 0.2122 0.2122 0.2122
Pt3 Pt 0.2122 0.2122 0.8635
Pt4 Pt 0.2122 0.8635 0.2122
Pt5 Pt 0.7878 0.1365 0.7878
Pt6 Pt 0.7878 0.7878 0.1365
Pt7 Pt 0.7878 0.7878 0.7878
Pt8 Pt 0.8635 0.2122 0.2122
N1 N 0.0000 0.5000 0.5000
N2 N 0.5000 0.0000 0.5000
N3 N 0.5000 0.5000 0.0000
N4 N 0.5000 0.5000 0.5000

---

Record 3
# Th2CuNiC (PBE-GGA, relaxed)
# Fermi-level density of states = 3.3 states/eV/f.u.
# Total magnetic moment = 0.00 μB/f.u.
# Energy = -7.0240 eV per atom
# SG = P2_1/m, No. 11
# ΔE_f = -0.24 eV per atom
data_Th2CuNiC
_chemical_formula_sum 'Th4 Cu2 Ni2 C2'
_cell_length_a 6.6585
_cell_length_b 3.8506
_cell_length_c 8.2202
_cell_angle_alpha 90.00
_cell_angle_beta 111.71
_cell_angle_gamma 90.00
_symmetry_space_group_name_H-M 'P 1'
_symmetry_Int_Tables_number 1
loop_
_symmetry_equiv_pos_as_xyz
'x,y,z'
loop_
_atom_site_label
_atom_site_type_symbol
_atom_site_fract_x
_atom_site_fract_y
_atom_site_fract_z
Th1 Th 0.2105 0.2500 0.3986
Th2 Th 0.2186 0.2500 0.9676
Th3 Th 0.7814 0.7500 0.0324
Th4 Th 0.7895 0.7500 0.6014
Cu1 Cu 0.2918 0.7500 0.7016
Cu2 Cu 0.7082 0.2500 0.2984
Ni1 Ni 0.4772 0.7500 0.2524
Ni2 Ni 0.5228 0.2500 0.7476
C1 C 0.1682 0.7500 0.1807
C2 C 0.8318 0.2500 0.8193

---

Record 4
# Pm2Tl2IO6 (PBE-GGA, relaxed)
# Fermi-level density of states = 2.1 states/eV/f.u.
# E_form (uncorrected) = -1572 meV per atom
# Total magnetic moment = 0.87 μB/f.u.
# Energy = -5.7117 eV per atom
# SG = C2/m, No. 12
data_Pm2Tl2IO6
_chemical_formula_sum 'Pm2 Tl2 I1 O6'
_cell_length_a 6.3291
_cell_length_b 6.3291
_cell_length_c 6.7620
_cell_angle_alpha 97.91
_cell_angle_beta 97.91
_cell_angle_gamma 121.53
_symmetry_space_group_name_H-M 'P 1'
_symmetry_Int_Tables_number 1
loop_
_symmetry_equiv_pos_as_xyz
'x,y,z'
loop_
_atom_site_label
_atom_site_type_symbol
_atom_site_fract_x
_atom_site_fract_y
_atom_site_fract_z
Pm1 Pm 0.1667 0.8333 0.0000
Pm2 Pm 0.8333 0.1667 0.0000
Tl1 Tl 0.3361 0.6639 0.5000
Tl2 Tl 0.6639 0.3361 0.5000
I1 I 0.5000 0.5000 0.0000
O1 O 0.1116 0.4585 0.8253
O2 O 0.2443 0.2443 0.1525
O3 O 0.4585 0.1116 0.8253
O4 O 0.5415 0.8884 0.1747
O5 O 0.7557 0.7557 0.8475
O6 O 0.8884 0.5415 0.1747